Record 1
Material: La8NdTm3
Method: DFT, PBE-GGA
State: optimized geometry

abc: 6.8524 11.2788 11.7026
angles: 90.00 90.00 90.00
Space group Immm (No. 71)
Inequivalent atoms, fractional coordinates:
La  0.0000  0.1658  0.2471 [8 per cell]
La  0.2198  0.2785  0.5000 [8 per cell]
Nd  0.0000  0.0000  0.5000 [2 per cell]
Tm  0.0000  0.0000  0.0000 [2 per cell]
Tm  0.0000  0.5000  0.2805 [4 per cell]

Calculated values
Final energy in eV per atom: -4.4749
Magnetic moment in μB/cell: 0.000

Record 2
Material: TiB3C
Method: DFT, PBE-GGA
State: optimized geometry

abc: 4.1427 4.1427 4.1427
angles: 90.00 90.00 90.00
Space group Pm-3m (No. 221)
Inequivalent atoms, fractional coordinates:
Ti  0.0000  0.0000  0.0000 [1 per cell]
B  0.0000  0.0000  0.5000 [3 per cell]
C  0.5000  0.5000  0.5000 [1 per cell]

Calculated values
Magnetic moment in μB/cell: 0.000
Relative energy among the computed polymorphs in eV per atom: 1.651

Record 3
Material: Pm4PuAs5
Method: DFT, PBE-GGA
State: optimized geometry

abc: 4.2197 4.2197 29.7964
angles: 90.00 90.00 90.00
Space group I4/mmm (No. 139)
Inequivalent atoms, fractional coordinates:
Pm  0.0000  0.0000  0.1003 [4 per cell]
Pm  0.0000  0.0000  0.3002 [4 per cell]
Pu  0.0000  0.0000  0.5000 [2 per cell]
As  0.0000  0.0000  0.0000 [2 per cell]
As  0.0000  0.0000  0.1999 [4 per cell]
As  0.0000  0.0000  0.4017 [4 per cell]

Calculated values
Final energy in eV per atom: -7.0751
Magnetic moment in μB/cell: 9.839

Record 4
Material: TbGdMgSn
Method: DFT, PBE-GGA
State: optimized geometry

abc: 7.5274 7.5274 7.5274
angles: 90.00 90.00 90.00
Space group F-43m (No. 216)
Inequivalent atoms, fractional coordinates:
Tb  0.0000  0.0000  0.0000 [4 per cell]
Gd  0.0000  0.0000  0.5000 [4 per cell]
Mg  0.2500  0.2500  0.7500 [4 per cell]
Sn  0.2500  0.2500  0.2500 [4 per cell]

Calculated values
Final energy in eV per atom: -6.4979
Magnetic moment in μB/cell: 29.869

Record 5
Material: POsF2
Method: DFT, PBE-GGA
State: optimized geometry

abc: 2.5932 2.5932 31.0758
angles: 90.00 90.00 120.00
Space group R-3m (No. 166, hexagonal axes)
Inequivalent atoms, fractional coordinates:
P  0.0000  0.0000  0.0000 [3 per cell]
Os  0.0000  0.0000  0.5000 [3 per cell]
F  0.0000  0.0000  0.0527 [6 per cell]

Calculated values
Magnetic moment in μB/cell: 1.875
Relative energy among the computed polymorphs in eV per atom: 0.034

Number 1: N(E_F) 19.44 states/eV/f.u.. Number 2: N(E_F) 2.20 states/eV/f.u.. Number 3: N(E_F) 13.90 states/eV/f.u.. Number 4: N(E_F) 3.48 states/eV/f.u.. Number 5: N(E_F) 1.94 states/eV/f.u..